(1)
SrLiHgAu: optimized geometry, GGA-PBE.

a = 5.237 Å, b = 5.237 Å, c = 5.237 Å
α = 60.00°, β = 60.00°, γ = 60.00°
Fractional positions:
Sr 0.000 0.000 0.000
Li 0.500 0.500 0.500
Hg 0.750 0.750 0.750
Au 0.250 0.250 0.250

* density of states at the Fermi level: 2.50 states/eV per cell
* ΔH_f (0 K): -462 meV/atom
* total moment: 0.0 Bohr magnetons per cell
* density: 8.046 g cm⁻³
* distance to the lowest polymorph of the same formula: 83 meV per atom

=====

(2)
SrLi2HgAu2: optimized geometry, GGA-PBE.

a = 4.608 Å, b = 4.608 Å, c = 7.193 Å
α = 90.00°, β = 90.00°, γ = 120.00°
Fractional positions:
Sr 0.000 0.000 0.000
Li 0.333 0.667 0.651
Li 0.667 0.333 0.349
Hg 0.000 0.000 0.500
Au 0.333 0.667 0.270
Au 0.667 0.333 0.730

* density of states at the Fermi level: 1.91 states/eV per cell
* ΔH_f (0 K): -554 meV/atom
* total moment: 0.0 Bohr magnetons per cell
* density: 8.738 g cm⁻³

=====

(3)
LiTbHgAu: optimized geometry, GGA-PBE.

a = 4.954 Å, b = 4.954 Å, c = 4.954 Å
α = 60.00°, β = 60.00°, γ = 60.00°
Fractional positions:
Li 0.000 0.000 0.000
Tb 0.500 0.500 0.500
Hg 0.250 0.250 0.250
Au 0.750 0.750 0.750

* density of states at the Fermi level: 3.49 states/eV per cell
* ΔH_f (0 K): -554 meV/atom
* total moment: 0.0 Bohr magnetons per cell
* density: 10.881 g cm⁻³

=====

(4)
Li2TbHgAu2: optimized geometry, GGA-PBE.

a = 4.580 Å, b = 4.580 Å, c = 6.488 Å
α = 90.00°, β = 90.00°, γ = 120.00°
Fractional positions:
Li 0.333 0.667 0.159
Li 0.667 0.333 0.841
Tb 0.000 0.000 0.500
Hg 0.000 0.000 0.000
Au 0.333 0.667 0.733
Au 0.667 0.333 0.267

* density of states at the Fermi level: 3.10 states/eV per cell
* ΔH_f (0 K): -570 meV/atom
* total moment: 0.0 Bohr magnetons per cell
* density: 10.813 g cm⁻³

=====

(5)
LiTiHgAu: optimized geometry, GGA-PBE.

a = 4.600 Å, b = 4.600 Å, c = 4.600 Å
α = 60.00°, β = 60.00°, γ = 60.00°
Fractional positions:
Li 0.000 0.000 0.000
Ti 0.500 0.500 0.500
Hg 0.250 0.250 0.250
Au 0.750 0.750 0.750

* density of states at the Fermi level: 2.28 states/eV per cell
* ΔH_f (0 K): -287 meV/atom
* total moment: 0.0 Bohr magnetons per cell
* density: 10.917 g cm⁻³

=====

(6)
LiTlHgAu: optimized geometry, GGA-PBE.

a = 4.918 Å, b = 4.918 Å, c = 4.918 Å
α = 60.00°, β = 60.00°, γ = 60.00°
Fractional positions:
Li 0.000 0.000 0.000
Tl 0.250 0.250 0.250
Hg 0.750 0.750 0.750
Au 0.500 0.500 0.500

* density of states at the Fermi level: 1.28 states/eV per cell
* ΔH_f (0 K): -204 meV/atom
* total moment: 0.0 Bohr magnetons per cell
* density: 12.023 g cm⁻³
* distance to the lowest polymorph of the same formula: 40 meV per atom

=====

(7)
LiTl2HgAu: optimized geometry, GGA-PBE.

a = 5.590 Å, b = 5.590 Å, c = 4.912 Å
α = 90.00°, β = 90.00°, γ = 90.00°
Fractional positions:
Li 0.000 0.000 0.000
Tl 0.000 0.500 0.500
Tl 0.500 0.000 0.500
Hg 0.500 0.500 0.000
Au 0.000 0.000 0.500

* density of states at the Fermi level: 2.94 states/eV per cell
* ΔH_f (0 K): -3 meV/atom
* total moment: 0.0 Bohr magnetons per cell
* density: 8.799 g cm⁻³

=====

(8)
LiTlHgAu: optimized geometry, GGA-PBE.

a = 3.408 Å, b = 3.408 Å, c = 7.444 Å
α = 90.00°, β = 90.00°, γ = 90.00°
Fractional positions:
Li 0.000 0.000 0.000
Tl 0.000 0.000 0.556
Hg 0.500 0.500 0.233
Au 0.500 0.500 0.829

* density of states at the Fermi level: 1.11 states/eV per cell
* ΔH_f (0 K): -244 meV/atom
* total moment: 0.0 Bohr magnetons per cell
* density: 11.697 g cm⁻³
* distance to the lowest polymorph of the same formula: 0 meV per atom

=====

(9)
Li2VHgAu: optimized geometry, GGA-PBE.

a = 4.638 Å, b = 4.638 Å, c = 5.032 Å
α = 90.00°, β = 90.00°, γ = 90.00°
Fractional positions:
Li 0.000 0.500 0.000
Li 0.500 0.000 0.000
V 0.000 0.000 0.500
Hg 0.000 0.000 0.000
Au 0.500 0.500 0.500

* density of states at the Fermi level: 4.62 states/eV per cell
* ΔH_f (0 K): 683 meV/atom
* total moment: 0.0 Bohr magnetons per cell
* density: 7.094 g cm⁻³

=====

(10)
Li3Zn2HgAu3: optimized geometry, GGA-PBE.

a = 7.657 Å, b = 7.657 Å, c = 2.877 Å
α = 90.00°, β = 90.00°, γ = 120.00°
Fractional positions:
Li 0.000 0.697 0.000
Li 0.303 0.303 0.000
Li 0.697 0.000 0.000
Zn 0.333 0.667 0.000
Zn 0.667 0.333 0.000
Hg 0.000 0.000 0.500
Au 0.000 0.387 0.500
Au 0.387 0.000 0.500
Au 0.613 0.613 0.500

* density of states at the Fermi level: 2.67 states/eV per cell
* ΔH_f (0 K): -390 meV/atom
* total moment: 0.0 Bohr magnetons per cell
* density: 10.718 g cm⁻³

=====

(11)
Li2Zn2HgAu2: optimized geometry, GGA-PBE.

a = 4.961 Å, b = 4.961 Å, c = 6.587 Å
α = 95.15°, β = 95.15°, γ = 46.51°
Fractional positions:
Li 0.214 0.214 0.159
Li 0.786 0.786 0.841
Zn 0.076 0.076 0.697
Zn 0.924 0.924 0.303
Hg 0.500 0.500 0.000
Au 0.357 0.357 0.586
Au 0.643 0.643 0.414

* density of states at the Fermi level: 1.67 states/eV per cell
* ΔH_f (0 K): -296 meV/atom
* total moment: 0.0 Bohr magnetons per cell
* density: 10.485 g cm⁻³

=====

(12)
Li3ZnHg2Au3: optimized geometry, GGA-PBE.

a = 7.913 Å, b = 7.913 Å, c = 2.953 Å
α = 90.00°, β = 90.00°, γ = 120.00°
Fractional positions:
Li 0.000 0.641 0.000
Li 0.359 0.359 0.000
Li 0.641 0.000 0.000
Zn 0.000 0.000 0.000
Hg 0.333 0.667 0.500
Hg 0.667 0.333 0.500
Au 0.000 0.280 0.500
Au 0.280 0.000 0.500
Au 0.720 0.720 0.500

* density of states at the Fermi level: 3.01 states/eV per cell
* ΔH_f (0 K): -371 meV/atom
* total moment: 0.0 Bohr magnetons per cell
* density: 11.181 g cm⁻³